No. 1
An optimized crystal structure of BaNaMg2Rh, computed with GGA-PBE.

Cell: 5.222 5.222 5.863 Å, 90.00 90.00 90.00°
Sites, in units of the cell vectors:
1 Ba 0.000 0.000 0.000
2 Na 0.500 0.500 0.000
3 Mg 0.000 0.500 0.500
4 Mg 0.500 0.000 0.500
5 Rh 0.000 0.000 0.500

Values from the calculation:
polymorph energy (0 for the lowest one) = 7 meV per atom
E_form = -0.080 eV/atom
size of the total moment = 0.0 μB per formula unit

---

No. 2
An optimized crystal structure of Pm3YIr, computed with GGA-PBE.

Cell: 5.572 5.572 5.572 Å, 90.00 90.00 90.00°
Sites, in units of the cell vectors:
1 Pm 0.000 0.000 0.500
2 Pm 0.000 0.500 0.000
3 Pm 0.500 0.000 0.000
4 Y 0.500 0.500 0.500
5 Ir 0.000 0.000 0.000

Values from the calculation:
polymorph energy (0 for the lowest one) = 145 meV per atom
E_form = -0.152 eV/atom
size of the total moment = 0.0 μB per formula unit

---

No. 3
An optimized crystal structure of CsCd2InBr, computed with GGA-PBE.

Cell: 5.472 5.472 7.818 Å, 90.00 90.00 90.00°
Sites, in units of the cell vectors:
1 Cs 0.000 0.000 0.000
2 Cd 0.000 0.500 0.500
3 Cd 0.500 0.000 0.500
4 In 0.000 0.000 0.500
5 Br 0.500 0.500 0.000

Values from the calculation:
formation energy without anion corrections = -288.0 meV per atom
size of the total moment = 0.0 μB per formula unit

---

No. 4
An optimized crystal structure of SrPuCdSn, computed with GGA-PBE.

Cell: 5.549 5.549 5.549 Å, 60.00 60.00 60.00°
Sites, in units of the cell vectors:
1 Sr 0.000 0.000 0.000
2 Pu 0.500 0.500 0.500
3 Cd 0.250 0.250 0.250
4 Sn 0.750 0.750 0.750

Values from the calculation:
E_form = -0.280 eV/atom
size of the total moment = 6.1 μB per formula unit

---

No. 5
An optimized crystal structure of BaNbAlCl2, computed with GGA-PBE.

Cell: 5.092 5.092 6.671 Å, 90.00 90.00 90.00°
Sites, in units of the cell vectors:
1 Ba 0.000 0.000 0.000
2 Nb 0.500 0.500 0.000
3 Al 0.000 0.000 0.500
4 Cl 0.000 0.500 0.500
5 Cl 0.500 0.000 0.500

Values from the calculation:
polymorph energy (0 for the lowest one) = 139 meV per atom
formation energy without anion corrections = 474.5 meV per atom
size of the total moment = 5.1 μB per formula unit

---

No. 6
An optimized crystal structure of Ho3In2Ru, computed with GGA-PBE.

Cell: 7.972 7.972 7.495 Å, 90.00 90.00 142.93°
Sites, in units of the cell vectors:
1 Ho 0.000 0.000 0.234
2 Ho 0.000 0.000 0.766
3 Ho 0.325 0.675 0.222
4 Ho 0.325 0.675 0.778
5 Ho 0.675 0.325 0.222
6 Ho 0.675 0.325 0.778
7 In 0.164 0.836 0.500
8 In 0.500 0.500 0.000
9 In 0.500 0.500 0.500
10 In 0.836 0.164 0.500
11 Ru 0.161 0.839 0.000
12 Ru 0.839 0.161 0.000

Values from the calculation:
E_form = -0.454 eV/atom
size of the total moment = 0.0 μB per formula unit

---

No. 7
An optimized crystal structure of HfSb3Os, computed with GGA-PBE.

Cell: 5.136 5.136 5.136 Å, 90.00 90.00 90.00°
Sites, in units of the cell vectors:
1 Hf 0.000 0.000 0.000
2 Sb 0.000 0.500 0.500
3 Sb 0.500 0.000 0.500
4 Sb 0.500 0.500 0.000
5 Os 0.500 0.500 0.500

Values from the calculation:
polymorph energy (0 for the lowest one) = 0 meV per atom
formation energy without anion corrections = 932.6 meV per atom
size of the total moment = 0.8 μB per formula unit

---

No. 8
An optimized crystal structure of Ti3CrPd, computed with GGA-PBE.

Cell: 4.447 4.447 4.447 Å, 90.00 90.00 90.00°
Sites, in units of the cell vectors:
1 Ti 0.000 0.000 0.500
2 Ti 0.000 0.500 0.000
3 Ti 0.500 0.000 0.000
4 Cr 0.000 0.000 0.000
5 Pd 0.500 0.500 0.500

Values from the calculation:
polymorph energy (0 for the lowest one) = 0 meV per atom
E_form = 0.457 eV/atom
size of the total moment = 0.0 μB per formula unit